Density functional theory data (PBE) for a relaxed SrVGe2 crystal.

Properties
Symmetry: I-42d
E: -5.0405 eV/atom
Formation enthalpy at 0 K: -0.13 eV per formula unit

Cell lengths 8.9452, 8.9452, 8.9452 Å; angles 145.80, 145.80, 49.15 degrees
Atoms (fractional coordinates):
Sr 0.0000 0.0000 0.0000
Sr 0.7500 0.2500 0.5000
V 0.2500 0.7500 0.5000
V 0.5000 0.5000 0.0000
Ge 0.3380 0.6250 0.2130
Ge 0.3750 0.5880 0.7130
Ge 0.4120 0.1250 0.7870
Ge 0.8750 0.6620 0.2870

---

Density functional theory data (PBE) for a relaxed ErTm4Hg2 crystal.

Properties
Symmetry: R-3m
E: -3.2626 eV/atom
Formation enthalpy at 0 K: 0.21 eV per formula unit

Cell lengths 10.3916, 10.3916, 10.3916 Å; angles 27.83, 27.83, 27.83 degrees
Atoms (fractional coordinates):
Er 0.0000 0.0000 0.0000
Tm 0.2030 0.2030 0.2030
Tm 0.3938 0.3938 0.3938
Tm 0.6062 0.6062 0.6062
Tm 0.7970 0.7970 0.7970
Hg 0.1008 0.1008 0.1008
Hg 0.8992 0.8992 0.8992

---

Density functional theory data (PBE) for a relaxed TaCoSe2 crystal.

Properties
Symmetry: Fm-3m
E: -6.4297 eV/atom

Cell lengths 4.4638, 4.4638, 4.4638 Å; angles 60.00, 60.00, 60.00 degrees
Atoms (fractional coordinates):
Ta 0.0000 0.0000 0.0000
Co 0.5000 0.5000 0.5000
Se 0.2500 0.2500 0.2500
Se 0.7500 0.7500 0.7500